No. 1
DFT (PBE) results for an optimized crystal structure of HgSCl2.

As for the crystal system: tetragonal. The energy relative to the lowest polymorph listed for this composition comes out at 562 meV/atom. For the formation energy from raw total energies, the calculation gives 0.292 eV/atom. For the final energy, the calculation gives -27.8 eV for the cell shown. For the magnetic moment, the calculation gives 2.00 μB/f.u.

It has space group I-42d (No. 122), with a = 7.922 Å, b = 7.922 Å, c = 6.708 Å, α = 90.00°, β = 90.00° and γ = 90.00°. The distinct sites, in fractional coordinates, are Hg at (0.000, 0.000, 0.000), S at (0.000, 0.000, 0.500) and Cl at (0.190, 0.250, 0.125).

---

No. 2
DFT (PBE) results for an optimized crystal structure of SbRu4.

As for the crystal system: cubic. The energy relative to the lowest polymorph listed for this composition comes out at 1927 meV/atom. For the formation energy from raw total energies, the calculation gives 2.021 eV/atom. For the final energy, the calculation gives -31.1 eV for the cell shown. For the magnetic moment, the calculation gives 6.26 μB/f.u.

It has space group Pm-3m (No. 221), with a = 4.766 Å, b = 4.766 Å, c = 4.766 Å, α = 90.00°, β = 90.00° and γ = 90.00°. The distinct sites, in fractional coordinates, are Sb at (0.000, 0.000, 0.000), Ru at (0.000, 0.000, 0.500) and Ru at (0.500, 0.500, 0.500).

---

Among the records above, which one has the lowest magnetic moment? HgSCl2

---

Among the records above, which one has the lowest energy relative to the lowest polymorph listed for this composition? HgSCl2

---

Which formula does entry 2 have? SbRu4

---

Which of these has the highest formation energy from raw total energies? SbRu4